Computed, not measured: a relaxed RbReGe2 crystal at the PBE-GGA level of DFT.

a = 4.8669 Å, b = 4.8669 Å, c = 4.8669 Å
α = 60.00°, β = 60.00°, γ = 60.00°
With the nearest neighbours (Å) after each atom.
Element x y z (fractional)
Rb (0.0000, 0.0000, 0.0000)  8 Ge 2.98
Re (0.5000, 0.5000, 0.5000)  8 Ge 2.98
Ge (0.2500, 0.2500, 0.2500)  4 Re 2.98, 4 Rb 2.98
Ge (0.7500, 0.7500, 0.7500)  4 Rb 2.98, 4 Re 2.98

Computed properties:
- Calculated formation energy: 1109 meV per atom
- Size of the total moment: 1.597 μB/cell
- Calculated volume: 20.379 Å³/atom
- E above lowest polymorph: 81.6 kJ/mol of atoms
- Space-group type: No. 225